This record from Alexandria via LeMat-Bulk describes crystalline NbCr3B at its relaxed geometry. The functional is PBE-GGA.

Calculated values
Energy above the most stable polymorph in this dataset: 0 meV per atom
Symmetry: Pm-3m (221)
Calculated formation energy: 0.18 eV per atom

```
NbCr3B
1.0
3.9608 0.0000 0.0000
0.0000 3.9608 0.0000
0.0000 0.0000 3.9608
B Cr Nb
1 3 1
direct
0.0000 0.0000 0.0000
0.5000 0.0000 0.0000
0.0000 0.5000 0.0000
0.0000 0.0000 0.5000
0.5000 0.5000 0.5000
```

This record from Alexandria via LeMat-Bulk describes crystalline VCu2ReN at its relaxed geometry. The functional is PBE-GGA.

Calculated values
Symmetry: P4/mmm (123)
Formation energy (no corrections): 11.509 eV per formula unit

```
VCu2ReN
1.0
-1.8751 -4.2803 -0.5210
3.6046 -1.8205 1.9829
-2.0974 0.4090 4.1883
Cu V N Re
2 1 1 1
direct
0.0000 0.0000 0.5000
0.5000 0.0000 0.0000
0.0000 0.5000 0.0000
0.5000 0.5000 0.5000
0.0000 0.0000 0.0000
```

This record from Alexandria via LeMat-Bulk describes crystalline LiInCo at its relaxed geometry. The functional is PBE-GGA.

Calculated values
Symmetry: Imm2 (44)
Calculated formation energy: 0.11 eV per atom

```
LiInCo
1.0
4.7625 0.0104 0.0101
2.2849 4.1786 -0.0101
-3.1251 -2.7650 2.2956
In Co Li
1 1 1
direct
0.3387 0.3387 0.0000
0.9988 0.9988 0.0000
0.6625 0.6625 0.0000
```

This record from Alexandria via LeMat-Bulk describes crystalline Ce4RuPt at its relaxed geometry. The functional is PBE-GGA.

Calculated values
Energy above the most stable polymorph in this dataset: 0 meV per atom
Symmetry: C2/c (15)
Calculated formation energy: -0.49 eV per atom

```
Ce4RuPt
1.0
5.8477 -0.1631 -1.4136
-2.3872 6.6635 -2.4332
-0.1825 -0.2038 7.4797
Ce Ru Pt
8 2 2
direct
0.4073 0.6949 0.0618
0.9073 0.0618 0.6949
0.5927 0.3051 0.9382
0.1859 0.4054 0.2259
0.8141 0.5946 0.7741
0.0927 0.9382 0.3051
0.6859 0.2259 0.4054
0.3141 0.7741 0.5946
0.7500 0.0000 0.0000
0.2500 0.0000 0.0000
0.2500 0.3777 0.6223
0.7500 0.6223 0.3777
```